[1]
# PBE-GGA Ce2TiCu, optimized geometry
# Energy above the lowest structure with this stoichiometry: 0 meV per atom
# Total moment: 0.000 μB/atom
# Formation enthalpy at 0 K: 0.103 eV/atom
# N(E_F): 2.05 states/eV per atom
data_Ce2TiCu
_chemical_formula_sum 'Ce2 Ti1 Cu1'
_symmetry_space_group_name_H-M 'P 4/m m m'
_symmetry_Int_Tables_number 123
_symmetry_space_group_name_Hall '-P 4 2'
_cell_length_a 3.0493
_cell_length_b 3.0493
_cell_length_c 9.1072
_cell_angle_alpha 90.00
_cell_angle_beta 90.00
_cell_angle_gamma 90.00
loop_
_atom_site_label
_atom_site_type_symbol
_atom_site_fract_x
_atom_site_fract_y
_atom_site_fract_z
Ce1 Ce 0.0000 0.0000 0.2376
Ti1 Ti 0.5000 0.5000 0.5000
Cu1 Cu 0.5000 0.5000 0.0000

=====

[2]
# PBE-GGA LiNiP2, optimized geometry
# Total moment: 0.000 μB/atom
# Formation enthalpy at 0 K: -0.363 eV/atom
# N(E_F): 0.32 states/eV per atom
data_LiNiP2
_chemical_formula_sum 'Li2 Ni2 P4'
_symmetry_space_group_name_H-M 'C 1 2/m 1'
_symmetry_Int_Tables_number 12
_cell_length_a 6.9223
_cell_length_b 3.2928
_cell_length_c 5.2518
_cell_angle_alpha 90.00
_cell_angle_beta 103.76
_cell_angle_gamma 90.00
loop_
_symmetry_equiv_pos_as_xyz
'x,y,z'
'-x,-y,-z'
'-x,y,-z'
'x,-y,z'
'x+1/2,y+1/2,z'
'-x+1/2,-y+1/2,-z'
'-x+1/2,y+1/2,-z'
'x+1/2,-y+1/2,z'
loop_
_atom_site_label
_atom_site_type_symbol
_atom_site_fract_x
_atom_site_fract_y
_atom_site_fract_z
Li1 Li 0.0000 0.0000 0.0000
Ni1 Ni 0.0000 0.5000 0.5000
P1 P 0.2314 0.0000 0.6704

=====

[3]
# PBE-GGA TiCdCl2F, optimized geometry
# E_form (uncorrected): -1.9 eV/f.u.
# Total moment: 0.538 μB/atom
# N(E_F): 0.86 states/eV per atom
data_TiCdCl2F
_chemical_formula_sum 'Ti1 Cd1 Cl2 F1'
_symmetry_space_group_name_H-M 'P 4/m m m'
_symmetry_Int_Tables_number 123
_symmetry_space_group_name_Hall '-P 4 2'
_cell_length_a 5.4504
_cell_length_b 5.4504
_cell_length_c 3.9799
_cell_angle_alpha 90.00
_cell_angle_beta 90.00
_cell_angle_gamma 90.00
loop_
_atom_site_label
_atom_site_type_symbol
_atom_site_fract_x
_atom_site_fract_y
_atom_site_fract_z
Ti1 Ti 0.0000 0.0000 0.0000
Cd1 Cd 0.5000 0.5000 0.0000
Cl1 Cl 0.0000 0.5000 0.5000
F1 F 0.5000 0.5000 0.5000

=====

[4]
# PBE-GGA YTlPbF6, optimized geometry
# E_form (uncorrected): -26.9 eV/f.u.
# Total moment: 0.000 μB/atom
# N(E_F): 0.00 states/eV per atom
data_YTlPbF6
_chemical_formula_sum 'Y2 Tl2 Pb2 F12'
_symmetry_space_group_name_H-M 'P 42 n m'
_symmetry_Int_Tables_number 102
_cell_length_a 5.7062
_cell_length_b 5.7062
_cell_length_c 11.6332
_cell_angle_alpha 90.00
_cell_angle_beta 90.00
_cell_angle_gamma 90.00
loop_
_symmetry_equiv_pos_as_xyz
'x,y,z'
'-y+1/2,x+1/2,z+1/2'
'-x,-y,z'
'y+1/2,-x+1/2,z+1/2'
'-x+1/2,y+1/2,z+1/2'
'y,x,z'
'x+1/2,-y+1/2,z+1/2'
'-y,-x,z'
loop_
_atom_site_label
_atom_site_type_symbol
_atom_site_fract_x
_atom_site_fract_y
_atom_site_fract_z
Y1 Y 0.0000 0.0000 0.0000
Tl1 Tl 0.0000 0.0000 0.6664
Pb1 Pb 0.0000 0.0000 0.3368
F1 F 0.1681 0.1681 0.1501
F2 F 0.1984 0.1984 0.8694
F3 F 0.2269 0.2269 0.4803

=====

[5]
# PBE-GGA ZnH3Rh, optimized geometry
# Total energy: -3.7431 eV per atom
# Total moment: 0.000 μB/atom
# N(E_F): 0.00 states/eV per atom
data_ZnH3Rh
_chemical_formula_sum 'Zn4 H12 Rh4'
_symmetry_space_group_name_H-M 'P 1 21/c 1'
_symmetry_Int_Tables_number 14
_cell_length_a 6.0568
_cell_length_b 4.3868
_cell_length_c 7.2476
_cell_angle_alpha 90.00
_cell_angle_beta 121.19
_cell_angle_gamma 90.00
loop_
_symmetry_equiv_pos_as_xyz
'x,y,z'
'-x,-y,-z'
'-x,y+1/2,-z+1/2'
'x,-y+1/2,z+1/2'
loop_
_atom_site_label
_atom_site_type_symbol
_atom_site_fract_x
_atom_site_fract_y
_atom_site_fract_z
Zn1 Zn 0.1461 0.2433 0.0740
H1 H 0.1000 0.6078 0.8839
H2 H 0.3257 0.0486 0.8834
H3 H 0.3894 0.5782 0.7999
Rh1 Rh 0.3908 0.7439 0.5720

=====

[6]
# PBE-GGA Ba2Al, optimized geometry
# Total moment: 0.000 μB/atom
# Formation enthalpy at 0 K: -0.070 eV/atom
# N(E_F): 0.98 states/eV per atom
data_Ba2Al
_chemical_formula_sum 'Ba4 Al2'
_symmetry_space_group_name_H-M 'I 4/m m m'
_symmetry_Int_Tables_number 139
_symmetry_space_group_name_Hall '-I 4 2'
_cell_length_a 4.2428
_cell_length_b 4.2428
_cell_length_c 14.9685
_cell_angle_alpha 90.00
_cell_angle_beta 90.00
_cell_angle_gamma 90.00
loop_
_atom_site_label
_atom_site_type_symbol
_atom_site_fract_x
_atom_site_fract_y
_atom_site_fract_z
Ba1 Ba 0.0000 0.0000 0.1275
Al1 Al 0.0000 0.0000 0.5000

=====

[7]
# PBE-GGA Bi2CSe2, optimized geometry
# Energy above the lowest structure with this stoichiometry: 130 meV per atom
# E_form (uncorrected): 4.5 eV/f.u.
# Total moment: 0.167 μB/atom
# N(E_F): 1.09 states/eV per atom
data_Bi2CSe2
_chemical_formula_sum 'Bi4 C2 Se4'
_symmetry_space_group_name_H-M 'P 4/m b m'
_symmetry_Int_Tables_number 127
_symmetry_space_group_name_Hall '-P 4 2ab'
_cell_length_a 7.4956
_cell_length_b 7.4956
_cell_length_c 4.3339
_cell_angle_alpha 90.00
_cell_angle_beta 90.00
_cell_angle_gamma 90.00
loop_
_atom_site_label
_atom_site_type_symbol
_atom_site_fract_x
_atom_site_fract_y
_atom_site_fract_z
Bi1 Bi 0.1855 0.3145 0.0000
C1 C 0.0000 0.0000 0.0000
Se1 Se 0.1480 0.6480 0.5000

=====

[8]
# PBE-GGA NaPdCl, optimized geometry
# Energy above the lowest structure with this stoichiometry: 48 meV per atom
# E_form (uncorrected): -2.2 eV/f.u.
# Total moment: 0.000 μB/atom
# N(E_F): 0.00 states/eV per atom
data_NaPdCl
_chemical_formula_sum 'Na6 Pd6 Cl6'
_symmetry_space_group_name_H-M 'R 3 m'
_symmetry_Int_Tables_number 160
_symmetry_space_group_name_Hall 'R 3 -2"'
_cell_length_a 4.6581
_cell_length_b 4.6581
_cell_length_c 22.3349
_cell_angle_alpha 90.00
_cell_angle_beta 90.00
_cell_angle_gamma 120.00
loop_
_atom_site_label
_atom_site_type_symbol
_atom_site_fract_x
_atom_site_fract_y
_atom_site_fract_z
Na1 Na 0.0000 0.0000 0.0000
Na2 Na 0.0000 0.0000 0.1641
Pd1 Pd 0.0000 0.0000 0.4128
Pd2 Pd 0.0000 0.0000 0.7475
Cl1 Cl 0.0000 0.0000 0.3076
Cl2 Cl 0.0000 0.0000 0.5172

=====

[9]
# PBE-GGA TlAgCl4, optimized geometry
# E_form (uncorrected): 0.8 eV/f.u.
# Total moment: 0.338 μB/atom
# N(E_F): 0.09 states/eV per atom
data_TlAgCl4
_chemical_formula_sum 'Tl4 Ag4 Cl16'
_symmetry_space_group_name_H-M 'F -4 3 m'
_symmetry_Int_Tables_number 216
_symmetry_space_group_name_Hall 'F -4 2 3'
_cell_length_a 8.6169
_cell_length_b 8.6169
_cell_length_c 8.6169
_cell_angle_alpha 90.00
_cell_angle_beta 90.00
_cell_angle_gamma 90.00
loop_
_atom_site_label
_atom_site_type_symbol
_atom_site_fract_x
_atom_site_fract_y
_atom_site_fract_z
Tl1 Tl 0.0000 0.0000 0.0000
Ag1 Ag 0.2500 0.2500 0.7500
Cl1 Cl 0.1249 0.1249 0.3751